[1]
First-principles (PBE) data for a relaxed structure of UCdAs, as listed in Alexandria via LeMat-Bulk.

energy relative to the elements: -82.4 kJ/mol of formula units
spin magnetization: 0.943 μB per atom

a = 5.781 Å, b = 5.781 Å, c = 8.959 Å
α = 90.00°, β = 90.47°, γ = 90.00°
Space group C2/m (No. 12)
Symmetry-distinct sites (fractional):
U (0.249, 0.000, 0.336) (multiplicity 4)
Cd (0.250, 0.000, 0.959) (multiplicity 4)
As (0.249, 0.500, 0.345) (multiplicity 4)

=====

[2]
First-principles (PBE) data for a relaxed structure of VCdAs3, as listed in Alexandria via LeMat-Bulk.

energy relative to the elements: 91.7 kJ/mol of formula units
spin magnetization: 0.000 μB per atom

a = 4.787 Å, b = 4.787 Å, c = 4.787 Å
α = 90.00°, β = 90.00°, γ = 90.00°
Space group Pm-3m (No. 221)
Symmetry-distinct sites (fractional):
V (0.000, 0.000, 0.000) (multiplicity 1)
Cd (0.500, 0.500, 0.500) (multiplicity 1)
As (0.000, 0.000, 0.500) (multiplicity 3)

=====

[3]
First-principles (PBE) data for a relaxed structure of VCd2As, as listed in Alexandria via LeMat-Bulk.

energy relative to the elements: 133.0 kJ/mol of formula units
spin magnetization: 0.542 μB per atom

a = 8.216 Å, b = 8.216 Å, c = 5.154 Å
α = 90.00°, β = 90.00°, γ = 90.00°
Space group I-42d (No. 122)
Symmetry-distinct sites (fractional):
V (0.000, 0.000, 0.000) (multiplicity 4)
Cd (0.209, 0.250, 0.625) (multiplicity 8)
As (0.000, 0.000, 0.500) (multiplicity 4)

=====

[4]
First-principles (PBE) data for a relaxed structure of VCd3As, as listed in Alexandria via LeMat-Bulk.

energy relative to the elements: 427.6 kJ/mol of formula units
spin magnetization: 0.768 μB per atom

a = 5.239 Å, b = 5.239 Å, c = 5.239 Å
α = 90.00°, β = 90.00°, γ = 90.00°
Space group Pm-3m (No. 221)
Symmetry-distinct sites (fractional):
V (0.000, 0.000, 0.000) (multiplicity 1)
Cd (0.000, 0.500, 0.500) (multiplicity 3)
As (0.500, 0.500, 0.500) (multiplicity 1)

=====

[5]
First-principles (PBE) data for a relaxed structure of V2CdAs, as listed in Alexandria via LeMat-Bulk.

energy relative to the elements: 207.8 kJ/mol of formula units
spin magnetization: 0.000 μB per atom

a = 4.084 Å, b = 4.084 Å, c = 18.226 Å
α = 90.00°, β = 90.00°, γ = 90.00°
Space group I-42d (No. 122)
Symmetry-distinct sites (fractional):
V (0.102, 0.250, 0.125) (multiplicity 8)
Cd (0.000, 0.000, 0.500) (multiplicity 4)
As (0.000, 0.000, 0.000) (multiplicity 4)

=====

[6]
First-principles (PBE) data for a relaxed structure of V3CdAs, as listed in Alexandria via LeMat-Bulk.

energy relative to the elements: 812.2 kJ/mol of formula units
spin magnetization: 1.422 μB per atom

a = 4.896 Å, b = 4.896 Å, c = 4.896 Å
α = 90.00°, β = 90.00°, γ = 90.00°
Space group Pm-3m (No. 221)
Symmetry-distinct sites (fractional):
V (0.000, 0.000, 0.500) (multiplicity 3)
Cd (0.000, 0.000, 0.000) (multiplicity 1)
As (0.500, 0.500, 0.500) (multiplicity 1)

=====

[7]
First-principles (PBE) data for a relaxed structure of V2CdAs, as listed in Alexandria via LeMat-Bulk.

energy relative to the elements: 125.2 kJ/mol of formula units
spin magnetization: 0.541 μB per atom

a = 6.324 Å, b = 6.324 Å, c = 6.324 Å
α = 90.00°, β = 90.00°, γ = 90.00°
Space group Fm-3m (No. 225)
Symmetry-distinct sites (fractional):
V (0.250, 0.250, 0.250) (multiplicity 8)
Cd (0.000, 0.000, 0.000) (multiplicity 4)
As (0.000, 0.000, 0.500) (multiplicity 4)

=====

[8]
First-principles (PBE) data for a relaxed structure of VCdAs, as listed in Alexandria via LeMat-Bulk.

energy relative to the elements: -57.6 kJ/mol of formula units
spin magnetization: 0.000 μB per atom

a = 3.335 Å, b = 3.335 Å, c = 9.698 Å
α = 90.00°, β = 90.00°, γ = 90.00°
Space group P4/nmm (No. 129, origin choice 2)
Symmetry-distinct sites (fractional):
V (0.250, 0.250, 0.086) (multiplicity 2)
Cd (0.250, 0.250, 0.397) (multiplicity 2)
As (0.250, 0.250, 0.818) (multiplicity 2)